Record 1
First-principles (PBE) data for AlTePb after structural relaxation, as listed in the Alexandria database.

Results
- DOS(E_F) (states/eV/cell) = 9.3
- raw formation energy (meV per atom) = 178

CIF file:
```
data_AlTePb
_cell_length_a 7.095
_cell_length_b 7.095
_cell_length_c 7.095
_cell_angle_alpha 90.00
_cell_angle_beta 90.00
_cell_angle_gamma 90.00
_symmetry_space_group_name_H-M 'F -4 3 m'
_symmetry_Int_Tables_number 216
_symmetry_space_group_name_Hall 'F -4 2 3'
loop_
_atom_site_label
_atom_site_type_symbol
_atom_site_fract_x
_atom_site_fract_y
_atom_site_fract_z
_atom_site_occupancy
Al1 Al 0.000 0.000 0.000 1
Te1 Te 0.250 0.250 0.750 1
Pb1 Pb 0.250 0.250 0.250 1
```


Record 2
First-principles (PBE) data for AlTePb2 after structural relaxation, as listed in the Alexandria database.

Results
- DOS(E_F) (states/eV/cell) = 3.2
- raw formation energy (meV per atom) = 103

CIF file:
```
data_AlTePb2
_cell_length_a 4.009
_cell_length_b 6.115
_cell_length_c 9.525
_cell_angle_alpha 90.00
_cell_angle_beta 90.00
_cell_angle_gamma 90.00
_symmetry_space_group_name_H-M 'C m m 2'
_symmetry_Int_Tables_number 35
_symmetry_space_group_name_Hall 'C 2 -2'
loop_
_atom_site_label
_atom_site_type_symbol
_atom_site_fract_x
_atom_site_fract_y
_atom_site_fract_z
_atom_site_occupancy
Al1 Al 0.000 0.000 0.000 1
Te1 Te 0.000 0.500 0.189 1
Pb1 Pb 0.000 0.000 0.479 1
Pb2 Pb 0.000 0.500 0.763 1
```


Record 3
First-principles (PBE) data for Al2TePb after structural relaxation, as listed in the Alexandria database.

Results
- DOS(E_F) (states/eV/cell) = 1.9
- raw formation energy (meV per atom) = 240

CIF file:
```
data_Al2TePb
_cell_length_a 3.796
_cell_length_b 4.764
_cell_length_c 5.580
_cell_angle_alpha 90.00
_cell_angle_beta 90.00
_cell_angle_gamma 90.00
_symmetry_space_group_name_H-M 'P m m m'
_symmetry_Int_Tables_number 47
_symmetry_space_group_name_Hall '-P 2 2'
loop_
_atom_site_label
_atom_site_type_symbol
_atom_site_fract_x
_atom_site_fract_y
_atom_site_fract_z
_atom_site_occupancy
Al1 Al 0.000 0.000 0.000 1
Al2 Al 0.500 0.000 0.500 1
Te1 Te 0.000 0.500 0.500 1
Pb1 Pb 0.500 0.500 0.000 1
```


Record 4
First-principles (PBE) data for Al2TePb after structural relaxation, as listed in the Alexandria database.

Results
- DOS(E_F) (states/eV/cell) = 3.6
- raw formation energy (meV per atom) = 196

CIF file:
```
data_Al2TePb
_cell_length_a 11.127
_cell_length_b 3.813
_cell_length_c 5.639
_cell_angle_alpha 90.00
_cell_angle_beta 119.02
_cell_angle_gamma 90.00
_symmetry_space_group_name_H-M 'C 1 2/m 1'
_symmetry_Int_Tables_number 12
_symmetry_space_group_name_Hall '-C 2y'
loop_
_atom_site_label
_atom_site_type_symbol
_atom_site_fract_x
_atom_site_fract_y
_atom_site_fract_z
_atom_site_occupancy
Al1 Al 0.231 0.000 0.169 1
Te1 Te 0.000 0.500 0.000 1
Pb1 Pb 0.000 0.000 0.500 1
```


Record 5
First-principles (PBE) data for AlTe4Pb3 after structural relaxation, as listed in the Alexandria database.

Results
- DOS(E_F) (states/eV/cell) = 3.4
- raw formation energy (meV per atom) = -290

CIF file:
```
data_AlTe4Pb3
_cell_length_a 9.458
_cell_length_b 9.697
_cell_length_c 6.475
_cell_angle_alpha 90.00
_cell_angle_beta 90.00
_cell_angle_gamma 90.00
_symmetry_space_group_name_H-M 'P m n 21'
_symmetry_Int_Tables_number 31
_symmetry_space_group_name_Hall 'P 2ac -2'
loop_
_atom_site_label
_atom_site_type_symbol
_atom_site_fract_x
_atom_site_fract_y
_atom_site_fract_z
_atom_site_occupancy
Al1 Al 0.000 0.218 0.000 1
Te1 Te 0.000 0.236 0.411 1
Te2 Te 0.000 0.950 0.909 1
Te3 Te 0.247 0.670 0.408 1
Pb1 Pb 0.000 0.905 0.412 1
Pb2 Pb 0.185 0.657 0.910 1
```


Record 6
First-principles (PBE) data for AlTePb after structural relaxation, as listed in the Alexandria database.

Results
- DOS(E_F) (states/eV/cell) = 1.3
- raw formation energy (meV per atom) = -49

CIF file:
```
data_AlTePb
_cell_length_a 3.9862
_cell_length_b 3.9862
_cell_length_c 6.2701
_cell_angle_alpha 90.00
_cell_angle_beta 90.00
_cell_angle_gamma 120.00
_symmetry_space_group_name_H-M 'P 3 m 1'
_symmetry_Int_Tables_number 156
_symmetry_space_group_name_Hall 'P 3 -2"'
loop_
_atom_site_label
_atom_site_type_symbol
_atom_site_fract_x
_atom_site_fract_y
_atom_site_fract_z
_atom_site_occupancy
Al1 Al 0.0000 0.0000 0.0000 1
Te1 Te 0.3333 0.6667 0.7581 1
Pb1 Pb 0.6667 0.3333 0.3410 1
```


Record 7
First-principles (PBE) data for Al2Te2Pb after structural relaxation, as listed in the Alexandria database.

Results
- DOS(E_F) (states/eV/cell) = 3.7
- raw formation energy (meV per atom) = -67

CIF file:
```
data_Al2Te2Pb
_cell_length_a 5.503
_cell_length_b 5.503
_cell_length_c 8.940
_cell_angle_alpha 90.00
_cell_angle_beta 90.00
_cell_angle_gamma 90.00
_symmetry_space_group_name_H-M 'I 4/m m m'
_symmetry_Int_Tables_number 139
_symmetry_space_group_name_Hall '-I 4 2'
loop_
_atom_site_label
_atom_site_type_symbol
_atom_site_fract_x
_atom_site_fract_y
_atom_site_fract_z
_atom_site_occupancy
Al1 Al 0.000 0.000 0.145 1
Te1 Te 0.000 0.500 0.250 1
Pb1 Pb 0.000 0.000 0.500 1
```


Record 8
First-principles (PBE) data for Al2TePb after structural relaxation, as listed in the Alexandria database.

Results
- DOS(E_F) (states/eV/cell) = 7.7
- raw formation energy (meV per atom) = 266

CIF file:
```
data_Al2TePb
_cell_length_a 7.300
_cell_length_b 7.300
_cell_length_c 7.300
_cell_angle_alpha 90.00
_cell_angle_beta 90.00
_cell_angle_gamma 90.00
_symmetry_space_group_name_H-M 'F m -3 m'
_symmetry_Int_Tables_number 225
_symmetry_space_group_name_Hall '-F 4 2 3'
loop_
_atom_site_label
_atom_site_type_symbol
_atom_site_fract_x
_atom_site_fract_y
_atom_site_fract_z
_atom_site_occupancy
Al1 Al 0.250 0.250 0.250 1
Te1 Te 0.000 0.000 0.000 1
Pb1 Pb 0.000 0.000 0.500 1
```


Record 9
First-principles (PBE) data for Al2TePb after structural relaxation, as listed in the Alexandria database.

Results
- DOS(E_F) (states/eV/cell) = 0.5
- raw formation energy (meV per atom) = 59

CIF file:
```
data_Al2TePb
_cell_length_a 3.730
_cell_length_b 4.854
_cell_length_c 6.595
_cell_angle_alpha 90.00
_cell_angle_beta 90.33
_cell_angle_gamma 90.00
_symmetry_space_group_name_H-M 'P 1 m 1'
_symmetry_Int_Tables_number 6
_symmetry_space_group_name_Hall 'P -2y'
loop_
_atom_site_label
_atom_site_type_symbol
_atom_site_fract_x
_atom_site_fract_y
_atom_site_fract_z
_atom_site_occupancy
Al1 Al 0.000 0.000 0.000 1
Al2 Al 0.500 0.500 0.095 1
Te1 Te 0.997 0.500 0.784 1
Pb1 Pb 0.504 0.000 0.353 1
```


Record 10
First-principles (PBE) data for AlTePb2 after structural relaxation, as listed in the Alexandria database.

Results
- DOS(E_F) (states/eV/cell) = 2.2
- raw formation energy (meV per atom) = 55

CIF file:
```
data_AlTePb2
_cell_length_a 3.675
_cell_length_b 3.675
_cell_length_c 8.413
_cell_angle_alpha 90.00
_cell_angle_beta 90.00
_cell_angle_gamma 90.00
_symmetry_space_group_name_H-M 'P 4 m m'
_symmetry_Int_Tables_number 99
_symmetry_space_group_name_Hall 'P 4 -2'
loop_
_atom_site_label
_atom_site_type_symbol
_atom_site_fract_x
_atom_site_fract_y
_atom_site_fract_z
_atom_site_occupancy
Al1 Al 0.000 0.000 0.000 1
Te1 Te 0.500 0.500 0.850 1
Pb1 Pb 0.000 0.000 0.550 1
Pb2 Pb 0.500 0.500 0.266 1
```


Record 11
First-principles (PBE) data for AlTePb2 after structural relaxation, as listed in the Alexandria database.

Results
- DOS(E_F) (states/eV/cell) = 8.5
- raw formation energy (meV per atom) = 182

CIF file:
```
data_AlTePb2
_cell_length_a 7.691
_cell_length_b 7.691
_cell_length_c 7.691
_cell_angle_alpha 90.00
_cell_angle_beta 90.00
_cell_angle_gamma 90.00
_symmetry_space_group_name_H-M 'F m -3 m'
_symmetry_Int_Tables_number 225
_symmetry_space_group_name_Hall '-F 4 2 3'
loop_
_atom_site_label
_atom_site_type_symbol
_atom_site_fract_x
_atom_site_fract_y
_atom_site_fract_z
_atom_site_occupancy
Al1 Al 0.000 0.000 0.000 1
Te1 Te 0.000 0.000 0.500 1
Pb1 Pb 0.250 0.250 0.250 1
```


Record 12
First-principles (PBE) data for Al2TePb after structural relaxation, as listed in the Alexandria database.

Results
- DOS(E_F) (states/eV/cell) = 2.1
- raw formation energy (meV per atom) = 75

CIF file:
```
data_Al2TePb
_cell_length_a 3.894
_cell_length_b 3.894
_cell_length_c 7.050
_cell_angle_alpha 90.00
_cell_angle_beta 90.00
_cell_angle_gamma 90.00
_symmetry_space_group_name_H-M 'P 4 m m'
_symmetry_Int_Tables_number 99
_symmetry_space_group_name_Hall 'P 4 -2'
loop_
_atom_site_label
_atom_site_type_symbol
_atom_site_fract_x
_atom_site_fract_y
_atom_site_fract_z
_atom_site_occupancy
Al1 Al 0.000 0.000 0.000 1
Al2 Al 0.500 0.500 0.246 1
Te1 Te 0.500 0.500 0.857 1
Pb1 Pb 0.000 0.000 0.425 1
```